Record 1
{"formula": "Pa2Co4Ge3Ru", "functional": "GGA-PBE", "state": "optimized geometry", "lattice_angstrom": [[3.772, 0.000, 0.000], [0.000, 3.772, 0.000], [0.000, 0.000, 10.987]], "species": ["Pa", "Pa", "Co", "Co", "Co", "Co", "Ge", "Ge", "Ge", "Ru"], "fractional_positions": [[0.000, 0.500, 0.231], [0.500, 0.000, 0.769], [0.000, 0.000, 0.500], [0.000, 0.500, 0.834], [0.500, 0.000, 0.166], [0.500, 0.500, 0.500], [0.000, 0.000, 0.000], [0.000, 0.500, 0.622], [0.500, 0.000, 0.378], [0.500, 0.500, 0.000]], "e_tot_ev_per_atom": -7.5078, "magnetic_moment_mub_per_atom": 0.0000, "density_g_cm3": 10.80}


Record 2
{"formula": "MnZn2Hg2", "functional": "GGA-PBE", "state": "optimized geometry", "lattice_angstrom": [[-1.786, 1.786, 7.624], [1.786, -1.786, 7.624], [1.786, 1.786, -7.624]], "species": ["Mn", "Zn", "Zn", "Hg", "Hg"], "fractional_positions": [[0.000, 0.000, 0.000], [0.250, 0.750, 0.500], [0.750, 0.250, 0.500], [0.399, 0.399, 0.000], [0.601, 0.601, 0.000]], "e_tot_ev_per_atom": -2.1780, "magnetic_moment_mub_per_atom": 0.7990, "density_g_cm3": 10.02, "relative_energy_mev_per_atom": 1}


Record 3
{"formula": "LaSb2Rh", "functional": "GGA-PBE", "state": "optimized geometry", "lattice_angstrom": [[4.640, 0.000, 0.000], [0.000, 4.640, 0.000], [0.000, 0.000, 4.446]], "species": ["La", "Sb", "Sb", "Rh"], "fractional_positions": [[0.000, 0.000, 0.000], [0.000, 0.500, 0.500], [0.500, 0.000, 0.500], [0.500, 0.500, 0.000]], "e_tot_ev_per_atom": -5.6251, "magnetic_moment_mub_per_atom": 0.0000, "density_g_cm3": 8.42, "raw_formation_energy_ev_per_atom": -0.49}


Record 4
{"formula": "CsSN3", "functional": "GGA-PBE", "state": "optimized geometry", "lattice_angstrom": [[4.677, 0.000, 0.000], [0.000, 4.677, 0.000], [0.000, 0.000, 4.677]], "species": ["Cs", "S", "N", "N", "N"], "fractional_positions": [[0.000, 0.000, 0.000], [0.500, 0.500, 0.500], [0.000, 0.000, 0.500], [0.000, 0.500, 0.000], [0.500, 0.000, 0.000]], "e_tot_ev_per_atom": -2.4737, "magnetic_moment_mub_per_atom": 1.2491, "density_g_cm3": 3.36, "raw_formation_energy_ev_per_atom": 3.52}